Entry from Alexandria: a geometry-optimized AcYC2O8 structure (PBE).

Cell and atoms, written as CIF:
```
data_AcYC2O8
_space_group_name_H-M_alt 'C 1 2/m 1'
_space_group_IT_number 12
_space_group_name_Hall '-C 2y'
_cell_length_a 8.6952
_cell_length_b 5.0497
_cell_length_c 6.7159
_cell_angle_alpha 90.00
_cell_angle_beta 115.65
_cell_angle_gamma 90.00
loop_
_atom_site_label
_atom_site_fract_x
_atom_site_fract_y
_atom_site_fract_z
Ac1 0.0000 0.0000 0.0000
Y1 0.0000 0.5000 0.5000
C1 0.2357 0.0000 0.7075
O1 0.0882 0.5000 0.2164
O2 0.1613 0.0000 0.4778
O3 0.1845 0.2250 0.7812
```

Properties
* magnetic moment: 2.02 μB/f.u.
* V: 132.9 Å³/f.u.
* ΔE_f (raw): -2.00 eV per atom

---

Entry from Alexandria: a geometry-optimized AcZn3C4O12 structure (PBE).

Cell and atoms, written as CIF:
```
data_AcZn3C4O12
_space_group_name_H-M_alt 'R 3 2'
_space_group_IT_number 155
_space_group_name_Hall 'R 3 2"'
_cell_length_a 9.7964
_cell_length_b 9.7964
_cell_length_c 8.3771
_cell_angle_alpha 90.00
_cell_angle_beta 90.00
_cell_angle_gamma 120.00
loop_
_atom_site_label
_atom_site_fract_x
_atom_site_fract_y
_atom_site_fract_z
Ac1 0.0000 0.0000 0.0000
Zn1 0.0000 0.5445 0.0000
C1 0.0000 0.0000 0.5000
C2 0.0000 0.4491 0.5000
O1 0.0000 0.5827 0.5000
O2 0.0000 0.8659 0.5000
O3 0.0162 0.2161 0.1767
```

Properties
* magnetic moment: 0.00 μB/f.u.
* V: 232.1 Å³/f.u.
* ΔE_f (raw): -1.54 eV per atom

---

Entry from Alexandria: a geometry-optimized Ac3OsC3 structure (PBE).

Cell and atoms, written as CIF:
```
data_Ac3OsC3
_space_group_name_H-M_alt 'C m c m'
_space_group_IT_number 63
_space_group_name_Hall '-C 2c 2'
_cell_length_a 9.2440
_cell_length_b 11.4121
_cell_length_c 5.7480
_cell_angle_alpha 90.00
_cell_angle_beta 90.00
_cell_angle_gamma 90.00
loop_
_atom_site_label
_atom_site_fract_x
_atom_site_fract_y
_atom_site_fract_z
Ac1 0.0000 0.1076 0.2500
Ac2 0.2061 0.3788 0.2500
Os1 0.0000 0.2999 0.7500
C1 0.0000 0.1277 0.7500
C2 0.1902 0.3677 0.7500
```

Properties
* E: -204.36 eV per cell
* magnetic moment: 0.00 μB/f.u.
* V: 151.6 Å³/f.u.

---

Entry from Alexandria: a geometry-optimized AcOsC2 structure (PBE).

Cell and atoms, written as CIF:
```
data_AcOsC2
_space_group_name_H-M_alt 'R -3 m'
_space_group_IT_number 166
_space_group_name_Hall '-R 3 2"'
_cell_length_a 3.4722
_cell_length_b 3.4722
_cell_length_c 16.7602
_cell_angle_alpha 90.00
_cell_angle_beta 90.00
_cell_angle_gamma 120.00
loop_
_atom_site_label
_atom_site_fract_x
_atom_site_fract_y
_atom_site_fract_z
Ac1 0.0000 0.0000 0.0000
Os1 0.0000 0.0000 0.5000
C1 0.0000 0.0000 0.2204
```

Properties
* E: -93.39 eV per cell
* magnetic moment: 0.00 μB/f.u.
* V: 58.3 Å³/f.u.